# 1
Here is crystalline PmZr2Co at its relaxed geometry from Alexandria via LeMat-Bulk. Energies are from PBE-GGA.

Lattice parameters (Å, degrees): 4.0936 4.0936 6.9650 72.91 72.91 60.00
Last column: nearest neighbours and their distance in Å.
Element x y z (fractional)
Co (0.6718, 0.6718, 0.9845)  6 Zr 2.53-2.62
Zr (0.2811, 0.2811, 0.1568)  3 Co 2.62
Pm (0.4960, 0.4960, 0.5120)  6 Zr 3.22-3.32, 1 Co 3.46
Zr (0.0511, 0.0511, 0.8468)  3 Co 2.53

Results
* relative energy among the computed polymorphs: 0.040 eV per atom
* DOS(E_F): 3.06 states/eV/f.u.
* formation energy from the elements: 0.04 eV per atom
* total magnetic moment: 0.0 μB per formula unit

# 2
Here is crystalline Pm2ZrCo9 at its relaxed geometry from Alexandria via LeMat-Bulk. Energies are from PBE-GGA.

Lattice parameters (Å, degrees): 4.9014 4.9014 8.8098 73.85 73.85 60.00
Last column: nearest neighbours and their distance in Å.
Element x y z (fractional)
Co (0.4229, 0.9206, 0.2336)  7 Co 2.40-2.63
Pm (0.1387, 0.1387, 0.5839)  9 Co 2.89-2.92, 3 Pm 3.16
Co (0.3335, 0.3335, 0.9995)  6 Co 2.40-2.42
Co (0.0794, 0.5771, 0.7664)  7 Co 2.40-2.63
Co (0.6665, 0.6665, 0.0005)  6 Co 2.40-2.42
Pm (0.8613, 0.8613, 0.4161)  9 Co 2.89-2.92, 3 Pm 3.16
Co (0.9206, 0.4229, 0.2336)  7 Co 2.40-2.63
Co (0.5771, 0.0794, 0.7664)  7 Co 2.40-2.63
Co (0.4229, 0.4229, 0.2336)  7 Co 2.40-2.63
Co (0.5771, 0.5771, 0.7664)  7 Co 2.40-2.63
Zr (0.0000, 0.0000, 0.0000)  18 Co 2.83-3.13
Co (0.5000, 0.5000, 0.5000)  6 Co 2.63, 6 Pm 2.92

Results
* DOS(E_F): 16.13 states/eV/f.u.
* formation energy from the elements: -0.09 eV per atom
* total magnetic moment: 9.6 μB per formula unit

# 3
Here is crystalline PmZrCo2 at its relaxed geometry from Alexandria via LeMat-Bulk. Energies are from PBE-GGA.

Lattice parameters (Å, degrees): 3.2601 3.2601 6.8073 90.00 90.00 90.00
Last column: nearest neighbours and their distance in Å.
Element x y z (fractional)
Co (0.0000, 0.0000, 0.7884)  4 Zr 2.72, 1 Co 2.88, 4 Pm 3.03
Co (0.0000, 0.0000, 0.2116)  4 Zr 2.72, 1 Co 2.88, 4 Pm 3.03
Zr (0.5000, 0.5000, 0.0000)  8 Co 2.72
Pm (0.5000, 0.5000, 0.5000)  8 Co 3.03, 4 Pm 3.26

Results
* relative energy among the computed polymorphs: 0.000 eV per atom
* DOS(E_F): 2.89 states/eV/f.u.
* formation energy from the elements: -0.14 eV per atom
* total magnetic moment: 0.6 μB per formula unit

# 4
Here is crystalline PmZr2Co9 at its relaxed geometry from Alexandria via LeMat-Bulk. Energies are from PBE-GGA.

Lattice parameters (Å, degrees): 4.9251 4.9251 8.4477 73.05 73.05 60.00
Last column: nearest neighbours and their distance in Å.
Element x y z (fractional)
Co (0.9216, 0.4121, 0.2542)  7 Co 2.42-2.51
Co (0.5879, 0.5879, 0.7458)  7 Co 2.42-2.51
Co (0.5879, 0.0784, 0.7458)  7 Co 2.42-2.51
Co (0.4121, 0.4121, 0.2542)  7 Co 2.42-2.51
Zr (0.8599, 0.8599, 0.4202)  12 Co 2.79-2.94, 3 Zr 3.11
Co (0.6642, 0.6642, 0.0074)  6 Co 2.44-2.51
Co (0.5000, 0.5000, 0.5000)  6 Co 2.43
Co (0.4121, 0.9216, 0.2542)  7 Co 2.42-2.51
Zr (0.1401, 0.1401, 0.5798)  12 Co 2.79-2.94, 3 Zr 3.11
Co (0.3358, 0.3358, 0.9926)  6 Co 2.44-2.51
Pm (0.0000, 0.0000, 0.0000)  6 Co 2.84
Co (0.0784, 0.5879, 0.7458)  7 Co 2.42-2.51

Results
* DOS(E_F): 16.16 states/eV/f.u.
* formation energy from the elements: -0.21 eV per atom
* total magnetic moment: 9.5 μB per formula unit

What is the formula in the second record?
Pm2ZrCo9